[1]
Li6Mg3In | Alexandria | PBE | optimized geometry; formation enthalpy at 0 K = 312 meV per atom; symmetry = Fm-3m (225); total DFT energy (no corrections) = -1.59 eV per atom; Fermi-level density of states = 0.566 states/eV per atom
1.0
-6.657 2.717 0.248
-5.653 -4.391 0.725
-3.702 -0.109 6.168
Li Mg In
6 3 1
Direct
0.752 0.752 0.248
0.248 0.752 0.752
0.248 0.752 0.248
0.752 0.248 0.248
0.752 0.248 0.752
0.248 0.248 0.752
0.750 0.750 0.750
0.250 0.250 0.250
0.500 0.500 0.500
0.000 0.000 0.000

***

[2]
Ti3H2N | Alexandria | PBE | optimized geometry; symmetry = Imm2 (44); total DFT energy (no corrections) = -7.09 eV per atom; Fermi-level density of states = 0.387 states/eV per atom
1.0
-1.837 -1.988 -1.479
-0.603 -2.281 3.816
-2.583 4.876 -0.131
Ti H N
3 2 1
Direct
0.000 0.060 0.000
0.305 0.261 0.610
0.695 0.651 0.390
0.857 0.576 0.713
0.143 0.863 0.287
0.500 0.332 0.000

***

[3]
Hf2GaSe | Alexandria | PBE | optimized geometry; symmetry = Fm-3m (225); total DFT energy (no corrections) = -6.98 eV per atom; Fermi-level density of states = 1.702 states/eV per atom; uncorrected formation energy = -373 meV/atom
1.0
0.000 3.360 3.360
3.360 0.000 3.360
3.360 3.360 0.000
Hf Ga Se
2 1 1
Direct
0.250 0.250 0.250
0.750 0.750 0.750
0.000 0.000 0.000
0.500 0.500 0.500

***

[4]
Nd3SmTm2Te6 | Alexandria | PBE | optimized geometry; symmetry = C2/m (12); total DFT energy (no corrections) = -5.24 eV per atom; Fermi-level density of states = 0.529 states/eV per atom; uncorrected formation energy = -1338 meV/atom
1.0
4.369 0.000 0.000
0.000 8.961 0.217
-2.184 -2.690 9.327
Nd Sm Tm Te
3 1 2 6
Direct
0.500 0.500 0.000
0.839 0.169 0.678
0.161 0.831 0.322
0.500 0.000 0.000
0.835 0.671 0.671
0.165 0.329 0.329
0.332 0.906 0.663
0.671 0.573 0.343
0.668 0.094 0.337
0.006 0.250 0.012
0.994 0.750 0.988
0.329 0.427 0.657

***

[5]
Ce2TlI | Alexandria | PBE | optimized geometry; symmetry = P4/mmm (123); total DFT energy (no corrections) = -4.42 eV per atom; Fermi-level density of states = 3.404 states/eV per atom; uncorrected formation energy = -472 meV/atom
1.0
3.745 0.000 0.000
0.000 3.745 0.000
0.000 0.000 8.447
I Tl Ce
1 1 2
Direct
0.500 0.500 0.500
0.500 0.500 0.000
0.000 0.000 0.753
0.000 0.000 0.247

***

[6]
Ca2OsRu | Alexandria | PBE | optimized geometry; formation enthalpy at 0 K = 290 meV per atom; symmetry = P4mm (99); total DFT energy (no corrections) = -5.84 eV per atom; Fermi-level density of states = 1.037 states/eV per atom
1.0
3.175 0.000 0.000
0.000 3.175 0.000
0.000 0.000 9.113
Ru Ca Os
1 2 1
Direct
0.500 0.500 0.694
0.000 0.000 0.930
0.500 0.500 0.320
0.000 0.000 0.556

***

[7]
CaBe2Cl6 | Alexandria | PBE | optimized geometry; symmetry = C2/c (15); total DFT energy (no corrections) = -3.99 eV per atom; Fermi-level density of states = 0.000 states/eV per atom; uncorrected formation energy = -1706 meV/atom
1.0
-1.193 3.597 -5.075
2.088 -5.447 -6.191
-8.080 -2.196 -1.497
Ca Be Cl
2 4 12
Direct
0.250 0.129 0.871
0.750 0.871 0.129
0.225 0.629 0.777
0.275 0.223 0.371
0.775 0.371 0.223
0.725 0.777 0.629
0.445 0.703 0.592
0.055 0.408 0.297
0.555 0.297 0.408
0.945 0.592 0.703
0.856 0.869 0.421
0.644 0.579 0.131
0.144 0.131 0.579
0.356 0.421 0.869
0.158 0.804 0.947
0.342 0.053 0.196
0.842 0.196 0.053
0.658 0.947 0.804

***

[8]
KW2Br | Alexandria | PBE | optimized geometry; symmetry = I-42d (122); total DFT energy (no corrections) = -5.88 eV per atom; Fermi-level density of states = 0.843 states/eV per atom; uncorrected formation energy = 1285 meV/atom
1.0
-3.374 1.552 -1.205
-1.686 -3.516 0.191
-5.846 1.271 11.683
K Br W
2 2 4
Direct
0.500 0.500 0.000
0.250 0.750 0.500
0.000 0.000 0.000
0.750 0.250 0.500
0.081 0.125 0.250
0.669 0.625 0.250
0.375 0.919 0.750
0.875 0.331 0.750

***

[9]
LaCo2Pb2 | Alexandria | PBE | optimized geometry; formation enthalpy at 0 K = 3 meV per atom; symmetry = I4/mmm (139); total DFT energy (no corrections) = -5.31 eV per atom; Fermi-level density of states = 0.915 states/eV per atom
1.0
-0.231 -4.331 1.606
1.067 -1.614 -4.200
5.425 -2.793 -0.094
Pb Co La
2 2 1
Direct
0.750 0.250 0.500
0.250 0.750 0.500
0.393 0.393 0.214
0.607 0.607 0.786
0.000 0.000 0.000

***

[10]
AsP2CS | Alexandria | PBE | optimized geometry; symmetry = P4/mmm (123); total DFT energy (no corrections) = -3.50 eV per atom; Fermi-level density of states = 1.019 states/eV per atom; uncorrected formation energy = 2262 meV/atom
1.0
-3.426 2.448 -2.174
-3.248 -2.937 1.811
-0.407 2.768 3.757
C P As S
1 2 1 1
Direct
0.500 0.500 0.500
0.000 0.500 0.000
0.500 0.000 0.000
0.000 0.000 0.000
0.000 0.000 0.500

***

[11]
NiSb2Ru | Alexandria | PBE | optimized geometry; symmetry = Amm2 (38); total DFT energy (no corrections) = -5.88 eV per atom; Fermi-level density of states = 0.829 states/eV per atom; uncorrected formation energy = -50 meV/atom
1.0
5.424 0.003 -0.001
4.380 3.198 -0.001
0.001 0.000 4.077
Ni Ru Sb
1 1 2
Direct
0.471 0.471 0.625
0.294 0.294 0.125
0.012 0.012 0.125
0.723 0.723 0.625

***

[12]
Nd5SmEr6 | Alexandria | PBE | optimized geometry; formation enthalpy at 0 K = 18 meV per atom; symmetry = Immm (71); total DFT energy (no corrections) = -4.64 eV per atom; Fermi-level density of states = 1.334 states/eV per atom
1.0
4.903 0.017 -1.429
-1.371 8.819 -4.594
0.100 -0.769 9.459
Nd Sm Er
5 1 6
Direct
0.666 0.166 0.332
0.333 0.333 0.666
0.000 0.500 0.000
0.667 0.667 0.334
0.334 0.834 0.668
0.000 0.000 0.000
0.833 0.584 0.667
0.833 0.083 0.667
0.500 0.750 0.000
0.500 0.250 0.000
0.167 0.917 0.333
0.167 0.416 0.333